Entry from OQMD: crystalline CsLuPdS3 at its relaxed geometry (PBE).

The structure belongs to space group Pnma (No. 62); the cell edges are 15.644, 4.005 and 10.684 Å and the angles 90.00°, 90.00° and 90.00°. The distinct sites, in fractional coordinates, are Cs at (0.237, 0.250, 0.038), Lu at (0.019, 0.250, 0.350), Pd at (0.004, 0.750, 0.089), S at (0.069, 0.750, 0.874), S at (0.086, 0.250, 0.575) and S at (0.116, 0.750, 0.257).

The value obtained for the total energy is -5.042 eV per atom.